# PBE ZnAg2O4, optimized geometry
# formation energy from raw total energies: -0.21 eV/atom
# raw total energy: -4.04 eV per atom
# offset from the most stable computed form: 94 meV per atom
data_ZnAg2O4
_cell_length_a 3.0889
_cell_length_b 10.6300
_cell_length_c 9.9258
_cell_angle_alpha 90.00
_cell_angle_beta 90.00
_cell_angle_gamma 90.00
_space_group_name_H-M_alt 'C m c m'
_space_group_IT_number 63
_space_group_name_Hall '-C 2c 2'
loop_
_atom_site_label
_atom_site_fract_x
_atom_site_fract_y
_atom_site_fract_z
Zn1 0.0000 0.1100 0.2500
Ag1 0.0000 0.3692 0.0720
O1 0.0000 0.0000 0.0000
O2 0.0000 0.2886 0.6208
O3 0.0000 0.4746 0.2500

=====

# PBE TaCo2Rh, optimized geometry
# formation enthalpy at 0 K: -0.110 eV per atom
# raw total energy: -8.46 eV per atom
# offset from the most stable computed form: 228 meV per atom
data_TaCo2Rh
_cell_length_a 8.7303
_cell_length_b 2.8272
_cell_length_c 4.4756
_cell_angle_alpha 90.00
_cell_angle_beta 102.76
_cell_angle_gamma 90.00
_space_group_name_H-M_alt 'C 1 m 1'
_space_group_IT_number 8
loop_
_space_group_symop_operation_xyz
'x,y,z'
'x,-y,z'
'x+1/2,y+1/2,z'
'x+1/2,-y+1/2,z'
loop_
_atom_site_label
_atom_site_fract_x
_atom_site_fract_y
_atom_site_fract_z
Ta1 0.0000 0.0000 0.0000
Co1 0.0113 0.5000 0.5254
Co2 0.2480 0.0000 0.7379
Rh1 0.2614 0.5000 0.2714